# BiWIO2 (GGA+U, relaxed)
# Total moment (μB per cell): 4.84
# E_tot (eV/atom): -4.26
data_BiWIO2
_chemical_formula_sum 'Bi1 W1 I1 O2'
_cell_length_a 4.3271
_cell_length_b 4.3271
_cell_length_c 6.8701
_cell_angle_alpha 90.00
_cell_angle_beta 90.00
_cell_angle_gamma 90.00
_space_group_name_H-M_alt 'P 4/m m m'
_space_group_IT_number 123
_space_group_name_Hall '-P 4 2'
loop_
_atom_site_label
_atom_site_type_symbol
_atom_site_fract_x
_atom_site_fract_y
_atom_site_fract_z
Bi1 Bi 0.0000 0.0000 0.0000
W1 W 0.5000 0.5000 0.5000
I1 I 0.0000 0.0000 0.5000
O1 O 0.0000 0.5000 0.0000